No. 1
Entry from Alexandria via LeMat-Bulk: an optimized crystal structure of Mg2BF (PBE-GGA).

For the raw formation energy, the calculation gives -1.167 eV/atom. The crystal system is triclinic. The density of states at the Fermi level is 0.9 states/eV per cell.

It has space group P-1 (No. 2), with a = 3.120 Å, b = 6.119 Å, c = 6.307 Å, α = 88.68°, β = 75.69° and γ = 89.78°. The inequivalent atoms are Mg at (0.089, 0.320, 0.319), Mg at (0.362, 0.204, 0.771), B at (0.257, 0.525, 0.985) and F at (0.157, 0.008, 0.187).



No. 2
Entry from Alexandria via LeMat-Bulk: an optimized crystal structure of InBO2 (PBE-GGA).

For the raw formation energy, the calculation gives -1.423 eV/atom. The crystal system is cubic. The density of states at the Fermi level is 0.0 states/eV per cell.

It has space group Fd-3m (No. 227, origin choice 2), with a = 7.022 Å, b = 7.022 Å, c = 7.022 Å, α = 90.00°, β = 90.00° and γ = 90.00°. The inequivalent atoms are In at (0.125, 0.125, 0.125), B at (0.125, 0.125, 0.625) and O at (0.000, 0.000, 0.500).



> raw formation energy of number 1 (Mg2BF)?

-1.167 eV/atom



> What is the formula in the second record?

InBO2



> The highest raw formation energy belongs to which entry?

Mg2BF



> Among the records above, which one has the lowest raw formation energy?

InBO2